The following is a DFT calculation (PBE-GGA) of a relaxed Ta2IrW crystal.

abc: 2.8159 2.8159 8.5267
angles: 90.00 90.00 93.45
With the nearest neighbours (Å) after each atom.
Sites, in units of the cell vectors:
Ta 0.0000 0.0000 0.0000  4 Ir 2.81-2.89, 8 Ta 2.82-3.11
Ta 0.5000 0.5000 0.2747  8 Ta 2.82-3.11, 4 W 2.99-3.07
Ir 0.5000 0.5000 0.7611  4 W 2.68-2.77, 4 Ta 2.81-2.89, 4 Ir 2.82
W 0.0000 0.0000 0.5425  4 Ir 2.68-2.77, 4 W 2.82, 2 Ta 2.99

Computed properties:
* offset from the most stable computed form: 178 meV per atom
* formation energy from the elements: -151 meV per atom
* D(E_F): 2.94 states/eV/f.u.
* spin magnetization: 0.0 μB/cell